i:
Entry from Alexandria: crystalline Li2SiC at its relaxed geometry (GGA-PBE).

Values from the calculation:
Space-group type: I-42d (122)

Lattice parameters (Å, degrees): 8.6213 8.6213 8.6213 159.06 159.06 29.79
Closest atoms and distances in Å follow each position.
Atoms (fractional coordinates):
Li1 0.0898 0.6250 0.9648  2 Li 2.07
Li2 0.3750 0.3398 0.4648  2 Li 2.07
Li3 0.6602 0.1250 0.0352  2 Li 2.07
Li4 0.8750 0.9102 0.5352  2 Li 2.07
Si1 0.2500 0.7500 0.5000  4 C 2.22, 4 Li 2.40
Si2 0.5000 0.5000 0.0000  4 C 2.22, 4 Li 2.40
C1 0.0000 0.0000 0.0000  4 Si 2.22, 4 Li 2.32
C2 0.7500 0.2500 0.5000  4 Si 2.22, 4 Li 2.32

***

ii:
Entry from Alexandria: crystalline Li2SiC at its relaxed geometry (GGA-PBE).

Values from the calculation:
Space-group type: Fm-3m (225)

Lattice parameters (Å, degrees): 3.9641 3.9641 3.9641 60.00 60.00 60.00
Closest atoms and distances in Å follow each position.
Atoms (fractional coordinates):
Li1 0.2500 0.2500 0.2500  4 Si 2.43, 4 C 2.43
Li2 0.7500 0.7500 0.7500  4 Si 2.43, 4 C 2.43
Si1 0.0000 0.0000 0.0000  8 Li 2.43
C1 0.5000 0.5000 0.5000  8 Li 2.43

***

Stability, highest: i